Run w
Material: Pm3Pr2Tm3
Method: DFT, GGA-PBE
State: relaxed

```
Pm3Pr2Tm3
1.0
5.631 0.000 0.000
-2.816 5.993 0.000
0.000 0.000 16.002
Tm Pm Pr
6 6 4
direct
0.383 0.765 0.550
0.617 0.235 0.450
0.458 0.916 0.250
0.542 0.084 0.750
0.383 0.765 0.950
0.617 0.235 0.050
0.733 0.465 0.250
0.077 0.154 0.595
0.923 0.846 0.405
0.923 0.846 0.095
0.077 0.154 0.905
0.267 0.535 0.750
0.782 0.563 0.873
0.218 0.437 0.127
0.782 0.563 0.627
0.218 0.437 0.373
```

Run x
Material: Pm3Pr2Tm3
Method: DFT, GGA-PBE
State: relaxed

```
Pm3Pr2Tm3
1.0
5.089 0.000 0.000
0.000 5.119 0.000
-2.545 -2.559 10.173
Tm Pm Pr
3 3 2
direct
0.877 0.877 0.754
0.123 0.123 0.246
0.000 0.500 0.000
0.500 0.000 0.000
0.378 0.378 0.756
0.622 0.622 0.244
0.750 0.250 0.499
0.250 0.750 0.501
```

It turns out run x is the most stable, with the second structure 0.111 eV/atom higher.